6
Lattice="3.9359 0.0000 0.0000 0.0000 3.9359 0.0000 0.0000 0.0000 11.9079" Properties=species:S:1:pos:R:3 comment="Sr2NdHg3, optimized geometry, DFT GGA-PBE" relative_energy_mev_per_atom=0 delta_e_f_mev_per_atom=-513.5 pbc="T T T"
Hg 0.0000 0.0000 0.0000
Nd 1.9679 1.9679 5.9539
Hg 0.0000 0.0000 7.7570
Sr 1.9679 1.9679 9.8678
Sr 1.9679 1.9679 2.0401
Hg 0.0000 0.0000 4.1509